1.
This record from the Alexandria database describes a relaxed structure of BaAcSnAu. The functional is PBE.

Structure (POSCAR):
```
BaAcSnAu
1.0
0.000 4.084 4.084
4.084 0.000 4.084
4.084 4.084 0.000
Ba Ac Sn Au
1 1 1 1
Direct
0.000 0.000 0.000
0.500 0.500 0.500
0.250 0.250 0.250
0.750 0.750 0.750
```

Properties
The density comes out at 8.29 g/cm³. The space-group type is F-43m. Its energy relative to the elements is -0.6815 eV per atom.

2.
This record from the Alexandria database describes a relaxed structure of ZrCoOs2. The functional is PBE.

Structure (POSCAR):
```
ZrCoOs2
1.0
4.638 -1.446 0.000
4.638 1.446 0.000
-1.074 0.000 4.534
Zr Co Os
1 1 2
Direct
0.000 0.000 0.000
0.500 0.500 0.500
0.231 0.231 0.720
0.769 0.769 0.280
```

Properties
The value obtained for the distance to the lowest polymorph of the same formula is 74 meV/atom. The density comes out at 14.49 g/cm³. The space-group type is C2/m. Its energy relative to the elements is 0.0394 eV per atom.